DFT (PBE with a Hubbard U) results for crystalline LiAcFe2F8 at its relaxed geometry.

```
data_LiAcFe2F8
_space_group_name_H-M_alt 'P -3 m 1'
_space_group_IT_number 164
_space_group_name_Hall '-P 3 2"'
_cell_length_a 6.0379
_cell_length_b 6.0379
_cell_length_c 6.5863
_cell_angle_alpha 90.00
_cell_angle_beta 90.00
_cell_angle_gamma 120.00
loop_
_atom_site_label
_atom_site_type_symbol
_atom_site_fract_x
_atom_site_fract_y
_atom_site_fract_z
_atom_site_occupancy
Li1 Li 0.0000 0.0000 0.0000 1
Ac1 Ac 0.0000 0.0000 0.5000 1
Fe1 Fe 0.3333 0.6667 0.7487 1
F1 F 0.1475 0.2950 0.7959 1
F2 F 0.3333 0.6667 0.4512 1
```

Properties
DFT total energy in eV/atom: -5.427
Fermi-level density of states in states/eV/f.u.: 13.76